Entry from the Alexandria database: a geometry-optimized CeSmPa2As4 structure (PBE).

Computed properties:
N(E_F)   12.0 states/eV/f.u.
Electronic total energy   -7.293 eV/atom
Crystal system   monoclinic
Symmetry   P2/m, No. 10

POSCAR file:
```
CeSmPa2As4
1.0
-2.090 -0.020 3.581
5.704 -2.844 3.313
0.406 7.183 0.277
Ce Sm Pa As
1 1 2 4
direct
0.000 0.000 0.000
0.500 0.500 0.000
0.500 0.000 0.500
0.000 0.500 0.500
0.500 0.253 0.259
0.500 0.747 0.741
0.000 0.247 0.740
0.000 0.753 0.260
```